Record 1
! K2BaYSi, relaxed, DFT PBE-GGA; values from VASP
&SYSTEM
  ibrav = 0, nat = 5, ntyp = 4
/
ATOMIC_SPECIES
Si 28.09 Si.upf
Y 88.91 Y.upf
Ba 137.33 Ba.upf
K 39.10 K.upf
ATOMIC_POSITIONS angstrom
Si 3.2735 3.1984 3.2735
Y 0.0000 0.0000 0.0000
Ba 0.0000 3.1984 0.0000
K 3.2735 0.0000 0.0000
K 0.0000 0.0000 3.2735
CELL_PARAMETERS angstrom
6.5469 0.0000 0.0000
0.0000 6.3969 0.0000
0.0000 0.0000 6.5469
! Formation energy from raw total energies ... 1.30 eV/atom
! Total moment ... 0.00 μB/f.u.


Record 2
! PrSmNiRh, relaxed, DFT PBE-GGA; values from VASP
&SYSTEM
  ibrav = 0, nat = 4, ntyp = 4
/
ATOMIC_SPECIES
Rh 102.91 Rh.upf
Pr 140.91 Pr.upf
Ni 58.69 Ni.upf
Sm 150.36 Sm.upf
ATOMIC_POSITIONS angstrom
Rh 0.0000 0.0000 4.6038
Pr 0.0000 0.0000 1.5510
Ni 1.9794 2.0814 0.8300
Sm 1.9794 2.0814 3.9675
CELL_PARAMETERS angstrom
3.9588 0.0000 0.0000
0.0000 4.1628 0.0000
-1.9794 0.0000 5.4761
! Energy of formation ... -525 meV per atom
! Total moment ... 0.00 μB/f.u.


Record 3
! CuHIrO2, relaxed, DFT PBE-GGA; values from VASP
&SYSTEM
  ibrav = 0, nat = 5, ntyp = 4
/
ATOMIC_SPECIES
O 16.00 O.upf
Cu 63.55 Cu.upf
Ir 192.22 Ir.upf
H 1.01 H.upf
ATOMIC_POSITIONS angstrom
O 0.0000 0.0000 1.9435
O 1.9435 0.0000 0.0000
Cu 0.0000 1.4746 0.0000
Ir 1.9435 1.4746 1.9435
H 0.0000 0.0000 0.0000
CELL_PARAMETERS angstrom
3.8871 0.0000 0.0000
0.0000 2.9491 0.0000
0.0000 0.0000 3.8871
! Total moment ... 0.00 μB/f.u.
! Uncorrected energy ... -4.516 eV per atom


Record 4
! Nd8CoOs3Br4, relaxed, DFT PBE-GGA; values from VASP
&SYSTEM
  ibrav = 0, nat = 16, ntyp = 4
/
ATOMIC_SPECIES
Nd 144.24 Nd.upf
Br 79.90 Br.upf
Co 58.93 Co.upf
Os 190.23 Os.upf
ATOMIC_POSITIONS angstrom
Nd -2.8426 -2.4849 -5.5421
Br 0.0000 0.0000 0.0000
Nd -5.2212 -1.2939 0.9079
Co -3.1614 -3.2031 0.8610
Br -1.1736 3.1653 -2.3251
Nd -3.4488 1.2182 -3.8362
Os -4.3350 -0.0378 -1.4641
Os -3.7325 -3.7204 -3.1605
Nd -6.4017 1.8890 -1.4301
Nd -2.2683 -1.9647 -1.4981
Nd -5.8196 -1.8038 -3.1107
Os -3.7639 0.4795 2.5574
Br -0.6025 3.6826 1.6964
Nd -2.8504 1.7282 0.1825
Nd -5.8274 2.4093 2.6138
Br -0.5711 -0.5173 -4.0216
CELL_PARAMETERS angstrom
-1.1422 -1.0347 -8.0431
-6.3228 -6.4061 1.7220
-1.2050 7.3652 3.3929
! Formation energy from raw total energies ... -0.65 eV/atom
! Total moment ... 0.00 μB/f.u.


Record 5
! ScPa3Se2S6, relaxed, DFT PBE-GGA; values from VASP
&SYSTEM
  ibrav = 0, nat = 12, ntyp = 4
/
ATOMIC_SPECIES
Pa 231.04 Pa.upf
S 32.06 S.upf
Sc 44.96 Sc.upf
Se 78.96 Se.upf
ATOMIC_POSITIONS angstrom
Pa 0.4800 4.5787 2.2409
S 2.8430 1.2516 6.9381
S -0.5995 0.8491 4.9985
Sc -1.3974 1.1833 2.4745
Pa 1.9117 1.6123 4.4679
S 0.9804 1.9730 1.9978
Se 1.1792 4.3032 4.9737
Se 2.6443 -1.0785 3.9622
Pa 1.4317 -2.9664 2.2270
S 4.4229 2.3756 3.9373
S 0.8594 -2.1735 7.2677
S 2.9641 5.3981 1.6681
CELL_PARAMETERS angstrom
-2.7948 2.3665 4.9489
2.8635 -5.9328 4.4541
3.7547 6.7909 -0.4671
! Formation energy from raw total energies ... -1.50 eV/atom
! Total moment ... 2.11 μB/f.u.


Record 6
! EuIn4Ga, relaxed, DFT PBE-GGA; values from VASP
&SYSTEM
  ibrav = 0, nat = 6, ntyp = 3
/
ATOMIC_SPECIES
In 114.82 In.upf
Ga 69.72 Ga.upf
Eu 151.96 Eu.upf
ATOMIC_POSITIONS angstrom
In 0.5768 0.1371 9.4472
In 1.0010 -1.5915 6.9127
Ga 0.0000 0.0000 0.0000
In -1.3287 0.4461 7.0254
Eu 0.2306 0.0548 3.7772
In 1.5958 1.4469 6.8323
CELL_PARAMETERS angstrom
-2.0336 -2.6136 5.2182
3.8025 -0.6166 4.8329
-0.8465 3.4495 5.0577
! Energy of formation ... -121 meV per atom
! Total moment ... 7.11 μB/f.u.


Record 7
! RbCaDyO3, relaxed, DFT PBE-GGA; values from VASP
&SYSTEM
  ibrav = 0, nat = 12, ntyp = 4
/
ATOMIC_SPECIES
Ca 40.08 Ca.upf
O 16.00 O.upf
Rb 85.47 Rb.upf
Dy 162.50 Dy.upf
ATOMIC_POSITIONS angstrom
Ca -3.8586 -5.9553 -3.7691
O -6.1232 -7.9301 0.8857
O -5.7090 -5.3155 2.1522
Ca -4.2912 -3.5967 1.5079
Rb -1.8793 -1.4770 -0.1419
O -3.4688 -7.4674 -2.2178
Dy -0.7765 -3.6294 -3.0458
O -2.4408 -4.2365 -4.4133
Rb -6.2706 -8.0750 -2.1192
O -2.0266 -1.6219 -3.1468
O -4.6810 -2.0846 -0.0433
Dy -7.3733 -5.9226 0.7846
CELL_PARAMETERS angstrom
-2.5446 1.3592 -1.9738
1.1953 -5.4726 -5.3095
-6.8005 -5.4386 5.0222
! Formation energy from raw total energies ... -2.57 eV/atom
! Total moment ... 0.04 μB/f.u.


Record 8
! Li8Se2O, relaxed, DFT PBE-GGA; values from VASP
&SYSTEM
  ibrav = 0, nat = 11, ntyp = 3
/
ATOMIC_SPECIES
Li 6.94 Li.upf
Se 78.96 Se.upf
O 16.00 O.upf
ATOMIC_POSITIONS angstrom
Li 0.1572 -0.9457 0.7269
Se -1.4398 -1.9779 2.4413
Li -3.4775 -0.4537 2.1989
Li -5.4388 -2.3781 4.8660
Li -5.9963 0.0577 3.0732
O -0.7166 -1.1769 -1.3761
Se -6.0559 -2.3776 2.4311
Li -2.0568 -1.9775 0.0065
Li -7.6529 -3.4098 4.1455
Li -1.4993 -4.4132 1.7993
Li -4.0182 -3.9018 2.6735
CELL_PARAMETERS angstrom
-1.4332 -2.3538 -2.7522
0.8378 -4.3803 3.3098
-6.9003 2.3786 4.3148
! Formation energy from raw total energies ... -0.99 eV/atom
! Total moment ... 0.00 μB/f.u.